DFT (PBE-GGA) results for an optimized crystal structure of NaIn3HgPb.

```
12
Lattice="4.7005 0.0000 0.0000 0.0000 7.3934 -0.5869 0.0000 -2.4739 9.6768" Properties=species:S:1:pos:R:3 pbc="T T T"
Na 1.1751 -0.6552 6.0285
Na 3.5254 5.5747 3.0614
In 3.5254 6.3412 -0.1532
In 1.1751 -1.4217 9.2431
In 1.1751 3.4754 4.1377
In 3.5254 1.4441 4.9522
In 3.5254 2.4664 1.5317
In 1.1751 2.4530 7.5582
Hg 1.1751 4.5472 1.0773
Hg 3.5254 0.3723 8.0126
Pb 1.1751 0.5033 2.8004
Pb 3.5254 4.4162 6.2895
```

Formation enthalpy at 0 K ... -0.0505 eV/atom
Density ... 7.81 g/cm³
Final energy ... -2.3079 eV/atom
Symmetry ... No. 11
DOS(E_F) ... 2.6 states/eV/f.u.
V ... 329.5 Å³/cell
M_tot ... 0.0 μB per formula unit